Model A:
LiY: optimized geometry, GGA-PBEsol.

Output
* V: 24.906 A^3/atom
* SG: Pnma (62)

Lattice parameters (Å, degrees): 5.1741 6.1884 6.2228 90.00 90.00 90.00
With the nearest neighbours (Å) after each atom.
Atoms (fractional coordinates):
Y 0.2500 0.8731 0.3505  7 Li 3.07-3.34
Y 0.7500 0.3731 0.1495  7 Li 3.07-3.34
Y 0.7500 0.1269 0.6495  7 Li 3.07-3.34
Y 0.2500 0.6269 0.8505  7 Li 3.07-3.34
Li 0.7500 0.6266 0.5854  7 Y 3.07-3.34, 2 Li 3.21
Li 0.2500 0.3734 0.4146  7 Y 3.07-3.34, 2 Li 3.21
Li 0.2500 0.1266 0.9146  7 Y 3.07-3.34, 2 Li 3.21
Li 0.7500 0.8734 0.0854  7 Y 3.07-3.34, 2 Li 3.21

---

Model B:
LiY: optimized geometry, GGA-PBEsol.

Output
* V: 26.698 A^3/atom
* SG: R-3m (166)

Lattice parameters (Å, degrees): 3.4219 3.4219 10.7150 80.81 80.81 60.00
With the nearest neighbours (Å) after each atom.
Atoms (fractional coordinates):
Li 0.1298 0.1298 0.6105  3 Li 3.05, 3 Y 3.35
Li 0.8702 0.8702 0.3895  3 Li 3.05, 3 Y 3.35
Y 0.6223 0.6223 0.1330  3 Li 3.35, 9 Y 3.42-3.43
Y 0.3777 0.3777 0.8670  3 Li 3.35, 9 Y 3.42-3.43

---

Model C:
LiY: optimized geometry, GGA-PBEsol.

Output
* V: 25.240 A^3/atom
* SG: P4/nmm (129)

Lattice parameters (Å, degrees): 3.6353 3.6353 7.6397 90.00 90.00 90.00
With the nearest neighbours (Å) after each atom.
Atoms (fractional coordinates):
Li 0.0000 0.5000 0.9123  4 Li 2.90
Li 0.5000 0.0000 0.0877  4 Li 2.90
Y 0.5000 0.0000 0.6474  5 Li 3.27-3.36, 8 Y 3.42-3.64
Y 0.0000 0.5000 0.3526  5 Li 3.27-3.36, 8 Y 3.42-3.64

---

Computed energies relative to the best structure, in kJ/mol of atoms: model A 14.6; model B 2.1; model C 0.0

---

Model A:
LiY5: optimized geometry, GGA-PBEsol.

Output
* V: 29.460 A^3/atom
* SG: Amm2 (38)

Lattice parameters (Å, degrees): 3.5554 5.5733 9.0959 90.00 101.27 90.00
With the nearest neighbours (Å) after each atom.
Atoms (fractional coordinates):
Y 0.1120 0.5000 0.2239  10 Y 3.40-3.56, 2 Li 3.45
Y 0.6613 0.0000 0.3226  2 Li 3.41, 10 Y 3.42-3.56
Y 0.3319 0.0000 0.6639  10 Y 3.43-3.56, 2 Li 3.46
Y 0.4498 0.5000 0.8996  8 Y 3.40-3.56, 4 Li 3.42
Y 0.7801 0.5000 0.5602  12 Y 3.43-3.56
Li 0.9982 0.0000 0.9965  10 Y 3.41-3.46, 2 Li 3.56

---

Model B:
LiY5: optimized geometry, GGA-PBEsol.

Output
* V: 28.715 A^3/atom
* SG: C2/m (12)

Lattice parameters (Å, degrees): 3.6538 6.3211 8.3854 110.71 90.00 106.80
With the nearest neighbours (Å) after each atom.
Atoms (fractional coordinates):
Y 0.3540 0.7080 0.7482  2 Li 3.23, 7 Y 3.52-3.59
Y 0.6715 0.3431 0.9126  2 Li 3.06, 4 Y 3.34-3.39
Y 0.3839 0.7677 0.1982  2 Li 3.06, 4 Y 3.34-3.39
Y 0.0277 0.0553 0.5553  12 Y 3.39-3.67
Y 0.7017 0.4033 0.3631  2 Li 3.22, 7 Y 3.52-3.59
Li 0.0279 0.0559 0.0558  8 Y 3.06-3.23

---

Computed energies relative to the best structure, in kJ/mol of atoms: model A 4.1; model B 0.0

---

Model A:
LiY3: optimized geometry, GGA-PBEsol.

Output
* V: 27.806 A^3/atom
* SG: P4/mmm (123)

Lattice parameters (Å, degrees): 3.5769 3.5769 8.6935 90.00 90.00 90.00
With the nearest neighbours (Å) after each atom.
Atoms (fractional coordinates):
Y 0.5000 0.5000 0.7778  4 Li 3.18, 4 Y 3.50
Y 0.5000 0.5000 0.2222  4 Li 3.18, 4 Y 3.50
Y 0.0000 0.0000 0.5000  12 Y 3.50-3.58
Li 0.0000 0.0000 0.0000  8 Y 3.18

---

Model B:
LiY3: optimized geometry, GGA-PBEsol.

Output
* V: 29.190 A^3/atom
* SG: P-6m2 (187)

Lattice parameters (Å, degrees): 3.5001 3.5001 11.0054 90.00 90.00 120.00
With the nearest neighbours (Å) after each atom.
Atoms (fractional coordinates):
Y 0.3333 0.6667 0.7550  3 Li 3.37, 9 Y 3.46-3.50
Y 0.0000 0.0000 0.5000  12 Y 3.46-3.50
Y 0.3333 0.6667 0.2450  3 Li 3.37, 9 Y 3.46-3.50
Li 0.0000 0.0000 0.0000  6 Y 3.37, 6 Li 3.50

---

Computed energies relative to the best structure, in kJ/mol of atoms: model A 0.0; model B 2.9